(1)
Here is an optimized crystal structure of TaW2Cl from Alexandria. Energies are from PBE.

```
4
Lattice="-5.1174 -5.6370 5.5560 -6.5268 -6.0639 3.0761 -4.1683 -7.6107 3.6791" Properties=species:S:1:pos:R:3 pbc="T T T"
Cl -3.9531 -4.8279 3.0778
W -7.9868 -9.7541 6.2184
W -15.7319 -19.2132 12.2486
Ta -11.8594 -14.4836 9.2335
```

## Properties
SG: No. 166
Energy relative to the elements, uncorrected: 0.52 eV/atom
Excess energy over the best structure of this formula in the dataset: 27.6 kJ per mole of atoms
Total moment: 0.0 μB/f.u.



(2)
Here is an optimized crystal structure of PtW2 from Alexandria. Energies are from PBE.

```
6
Lattice="2.2416 -3.8826 0.0000 2.2416 3.8826 0.0000 0.0000 0.0000 5.5072" Properties=species:S:1:pos:R:3 pbc="T T T"
Pt 2.2416 -1.2942 4.1304
Pt 2.2416 1.2942 1.3768
W 0.0000 0.0000 2.7536
W 2.2416 1.2942 4.1304
W 2.2416 -1.2942 1.3768
W 0.0000 0.0000 0.0000
```

## Properties
SG: No. 194
Formation energy from the elements: 9 meV/atom
Excess energy over the best structure of this formula in the dataset: 8.2 kJ per mole of atoms
Total moment: 0.0 μB/f.u.



(3)
Here is an optimized crystal structure of NdY4Ag from Alexandria. Energies are from PBE.

```
6
Lattice="-1.3704 0.7198 -3.2551 -3.0628 -1.6617 0.9219 -5.1137 12.1057 4.8301" Properties=species:S:1:pos:R:3 pbc="T T T"
Y -1.8736 4.4352 1.7696
Y -7.6732 6.7287 0.7274
Y -6.3938 9.4183 2.7792
Y -3.1530 1.7456 -0.2822
Nd 0.0000 0.0000 0.0000
Ag -4.7734 5.5820 1.2485
```

## Properties
SG: No. 123
Formation energy from the elements: -82 meV/atom
Excess energy over the best structure of this formula in the dataset: 0.0 kJ per mole of atoms
Total moment: 0.0 μB/f.u.



(4)
Here is an optimized crystal structure of Sm4TcSn from Alexandria. Energies are from PBE.

```
12
Lattice="-4.6434 -4.2330 -0.0599 5.9416 -4.3124 -3.3569 0.8526 1.1102 7.9503" Properties=species:S:1:pos:R:3 pbc="T T T"
Sm -1.3265 -3.1320 2.0966
Sm -0.1035 -2.4909 6.5120
Sm 0.4067 -5.6219 4.0707
Sm 3.4772 -4.3032 2.4371
Sm 2.2541 -4.9443 -1.9784
Sm 1.7439 -1.8133 0.4629
Sm -3.4380 -3.4694 5.4805
Sm 5.5887 -3.9658 -0.9469
Sn 1.5975 -1.9788 3.7008
Sn 0.5531 -5.4564 0.8328
Tc 2.4543 -7.4822 -3.3915
Tc -0.3037 0.0470 7.9251
```

## Properties
SG: No. 15
Formation energy from the elements: -307 meV/atom
Total moment: 0.0 μB/f.u.



(5)
Here is an optimized crystal structure of NaTe3F from Alexandria. Energies are from PBE.

```
5
Lattice="5.0412 0.0000 0.0000 0.0000 5.0412 0.0000 0.0000 0.0000 5.0412" Properties=species:S:1:pos:R:3 pbc="T T T"
F 0.0000 0.0000 0.0000
Te 0.0000 2.5206 0.0000
Te 0.0000 0.0000 2.5206
Te 2.5206 0.0000 0.0000
Na 2.5206 2.5206 2.5206
```

## Properties
SG: No. 221
Energy relative to the elements, uncorrected: -0.33 eV/atom
Excess energy over the best structure of this formula in the dataset: 0.0 kJ per mole of atoms
Total moment: 0.0 μB/f.u.



(6)
Here is an optimized crystal structure of LiYRu3 from Alexandria. Energies are from PBE.

```
5
Lattice="4.2995 0.0000 0.0000 0.0000 4.2995 0.0000 0.0000 0.0000 4.2995" Properties=species:S:1:pos:R:3 pbc="T T T"
Ru 2.1497 0.0000 0.0000
Ru 0.0000 2.1497 0.0000
Ru 0.0000 0.0000 2.1497
Li 0.0000 0.0000 0.0000
Y 2.1497 2.1497 2.1497
```

## Properties
SG: No. 221
Formation energy from the elements: 604 meV/atom
Excess energy over the best structure of this formula in the dataset: 0.0 kJ per mole of atoms
Total moment: 0.0 μB/f.u.



(7)
Here is an optimized crystal structure of Tl2HgRh from Alexandria. Energies are from PBE.

```
4
Lattice="-3.7411 -2.0747 1.1462 0.2039 -2.0280 -3.0052 3.1459 -4.5439 2.0431" Properties=species:S:1:pos:R:3 pbc="T T T"
Tl 1.0228 -3.0048 -2.1005
Tl 2.3270 -3.5672 1.1384
Rh -0.1956 -4.3233 0.0921
Hg -1.7686 -2.0513 -0.9295
```

## Properties
SG: No. 10
Formation energy from the elements: 237 meV/atom
Excess energy over the best structure of this formula in the dataset: 18.2 kJ per mole of atoms
Total moment: 0.0 μB/f.u.



(8)
Here is an optimized crystal structure of Pu2Cd3Ag5 from Alexandria. Energies are from PBE.

```
20
Lattice="5.9538 0.0000 0.0000 2.9769 8.7987 -1.1547 2.9769 0.2162 8.8715" Properties=species:S:1:pos:R:3 pbc="T T T"
Pu 5.9538 1.1646 5.5116
Pu 8.9307 3.3896 7.4162
Pu 2.9769 5.6253 0.3006
Pu 5.9538 7.8503 2.2051
Ag 4.4653 4.5075 3.8584
Ag 7.4422 4.5075 3.8584
Ag 2.9769 0.2988 6.3847
Ag 4.4653 6.7518 5.7795
Ag 4.4653 2.2632 1.9373
Ag 5.9538 6.3544 -0.6896
Ag 7.4422 2.2632 1.9373
Ag 5.9538 2.6606 8.4063
Ag 8.9307 8.7161 1.3321
Ag 7.4422 6.7518 5.7795
Cd 8.9307 6.8345 3.3555
Cd 4.4653 0.0000 0.0000
Cd 5.9538 4.3695 6.2352
Cd 2.9769 2.1804 4.3613
Cd 1.4884 0.0000 0.0000
Cd 5.9538 4.6454 1.4816
```

## Properties
SG: No. 72
Formation energy from the elements: 68 meV/atom
Total moment: 11.9 μB/f.u.



Which value of total moment does entry 2 give? 0.0 μB/f.u.